(1)
A plane-wave DFT calculation with PBE+U was carried out for Rb2Co2O3 after structural relaxation.

a = 6.1701 Å, b = 7.9311 Å, c = 12.0700 Å
α = 90.00°, β = 90.00°, γ = 90.00°
With the nearest neighbours (Å) after each atom.
Fractional positions:
1 Rb 0.2500 0.0048 0.3812  5 O 2.93-3.11
2 Rb 0.7500 0.9952 0.6188  5 O 2.93-3.11
3 Rb 0.7500 0.5048 0.1188  5 O 2.93-3.11
4 Rb 0.2500 0.4952 0.8812  5 O 2.93-3.11
5 Rb 0.2500 0.8763 0.0590  5 O 2.91-2.97
6 Rb 0.7500 0.1237 0.9410  5 O 2.91-2.97
7 Rb 0.7500 0.3763 0.4410  5 O 2.91-2.97
8 Rb 0.2500 0.6237 0.5590  5 O 2.91-2.97
9 Co 0.2500 0.5923 0.2674  3 O 1.84-1.89
10 Co 0.7500 0.4077 0.7326  3 O 1.84-1.89
11 Co 0.7500 0.0923 0.2326  3 O 1.84-1.89
12 Co 0.2500 0.9077 0.7674  3 O 1.84-1.89
13 Co 0.2500 0.2761 0.1504  3 O 1.83-1.94
14 Co 0.7500 0.7239 0.8496  3 O 1.83-1.94
15 Co 0.7500 0.7761 0.3496  3 O 1.83-1.94
16 Co 0.2500 0.2239 0.6504  3 O 1.83-1.94
17 O 0.2500 0.5172 0.1234  2 Co 1.84-1.94
18 O 0.7500 0.4828 0.8766  2 Co 1.84-1.94
19 O 0.7500 0.0172 0.3766  2 Co 1.84-1.94
20 O 0.2500 0.9828 0.6234  2 Co 1.84-1.94
21 O 0.9910 0.1626 0.1470  2 Co 1.83-1.89
22 O 0.4910 0.8374 0.8530  2 Co 1.83-1.89
23 O 0.0090 0.6626 0.3530  2 Co 1.83-1.89
24 O 0.5090 0.3374 0.6470  2 Co 1.83-1.89
25 O 0.0090 0.8374 0.8530  2 Co 1.83-1.89
26 O 0.5090 0.1626 0.1470  2 Co 1.83-1.89
27 O 0.9910 0.3374 0.6470  2 Co 1.83-1.89
28 O 0.4910 0.6626 0.3530  2 Co 1.83-1.89

E_tot, eV for the cell shown: -139.419
Total magnetic moment, μB/cell: 23.836

=====

(2)
A plane-wave DFT calculation with PBE+U was carried out for Rb4CoO4 after structural relaxation.

a = 6.6740 Å, b = 6.6740 Å, c = 7.4004 Å
α = 116.80°, β = 116.80°, γ = 90.00°
With the nearest neighbours (Å) after each atom.
Fractional positions:
1 Rb 0.5000 0.0000 0.0000  4 O 2.74
2 Rb 0.0000 0.5000 0.0000  4 O 2.74
3 Rb 0.2893 0.2893 0.5785  2 O 2.67
4 Rb 0.7107 0.7107 0.4215  2 O 2.67
5 Co 0.0000 0.0000 0.0000  4 O 1.83
6 O 0.7491 0.7491 0.8116  1 Co 1.83
7 O 0.2509 0.9375 0.1884  1 Co 1.83
8 O 0.0625 0.0625 0.8116  1 Co 1.83
9 O 0.9375 0.2509 0.1884  1 Co 1.83

E_tot, eV for the cell shown: -39.168
Total magnetic moment, μB/cell: 4.991

=====

(3)
A plane-wave DFT calculation with PBE+U was carried out for Rb3Co2O4 after structural relaxation.

a = 5.8819 Å, b = 9.2948 Å, c = 9.2948 Å
α = 111.96°, β = 105.22°, γ = 105.22°
With the nearest neighbours (Å) after each atom.
Fractional positions:
1 Rb 0.1212 0.3100 0.9441  5 O 2.85-3.17
2 Rb 0.3788 0.0559 0.6900  5 O 2.85-3.17
3 Rb 0.8788 0.6900 0.0559  5 O 2.85-3.17
4 Rb 0.6212 0.9441 0.3100  5 O 2.85-3.17
5 Rb 0.7500 0.4051 0.5949  4 O 2.97-3.00, 2 Co 3.30
6 Rb 0.2500 0.5949 0.4051  4 O 2.97-3.00, 2 Co 3.30
7 Co 0.6590 0.2994 0.1801  3 O 1.75-1.86
8 Co 0.8410 0.8199 0.7006  3 O 1.75-1.86
9 Co 0.3410 0.7006 0.8199  3 O 1.75-1.86
10 Co 0.1590 0.1801 0.2994  3 O 1.75-1.86
11 O 0.7022 0.3579 0.0272  1 Co 1.75
12 O 0.7978 0.9728 0.6421  1 Co 1.75
13 O 0.2978 0.6421 0.9728  1 Co 1.75
14 O 0.2022 0.0272 0.3579  1 Co 1.75
15 O 0.8887 0.2458 0.3071  2 Co 1.85-1.86
16 O 0.6113 0.6929 0.7542  2 Co 1.85-1.86
17 O 0.1113 0.7542 0.6929  2 Co 1.85-1.86
18 O 0.3887 0.3071 0.2458  2 Co 1.85-1.86

E_tot, eV for the cell shown: -86.073
Total magnetic moment, μB/cell: 14.031

=====

(4)
A plane-wave DFT calculation with PBE+U was carried out for Rb5Co2O4 after structural relaxation.

a = 7.0637 Å, b = 9.3755 Å, c = 9.7236 Å
α = 61.77°, β = 89.13°, γ = 71.34°
With the nearest neighbours (Å) after each atom.
Fractional positions:
1 Rb 0.9058 0.8314 0.7786  4 O 2.89-2.97
2 Rb 0.0942 0.1686 0.2214  4 O 2.89-2.97
3 Rb 0.8963 0.4371 0.7775  4 O 2.89-2.96
4 Rb 0.1037 0.5629 0.2225  4 O 2.89-2.96
5 Rb 0.7301 0.0504 0.0225  4 O 2.89-3.00
6 Rb 0.2699 0.9496 0.9775  4 O 2.89-3.00
7 Rb 0.3806 0.3527 0.6354  3 O 2.84-2.89
8 Rb 0.6194 0.6473 0.3646  3 O 2.84-2.89
9 Rb 0.6223 0.1638 0.3851  3 O 2.89-2.97
10 Rb 0.3777 0.8362 0.6149  3 O 2.89-2.97
11 Co 0.6095 0.5817 0.0297  3 O 1.78-2.00
12 Co 0.3905 0.4183 0.9703  3 O 1.78-2.00
13 Co 0.9868 0.7913 0.4228  2 O 1.78
14 Co 0.0132 0.2087 0.5772  2 O 1.78
15 O 0.6918 0.7343 0.0475  1 Co 1.78
16 O 0.3082 0.2657 0.9525  1 Co 1.78
17 O 0.2263 0.2091 0.4768  1 Co 1.78
18 O 0.7737 0.7909 0.5232  1 Co 1.78
19 O 0.3213 0.6411 0.9480  2 Co 1.89-2.00
20 O 0.6787 0.3589 0.0520  2 Co 1.89-2.00
21 O 0.8097 0.2002 0.6878  1 Co 1.78
22 O 0.1903 0.7998 0.3122  1 Co 1.78

E_tot, eV for the cell shown: -93.724
Total magnetic moment, μB/cell: 10.000

=====

(5)
A plane-wave DFT calculation with PBE+U was carried out for Rb4CoO5 after structural relaxation.

a = 5.6858 Å, b = 6.6456 Å, c = 6.6456 Å
α = 79.46°, β = 64.67°, γ = 64.67°
With the nearest neighbours (Å) after each atom.
Fractional positions:
1 Rb 0.4141 0.3917 0.8128  5 O 2.74-3.04
2 Rb 0.8058 0.8128 0.6083  5 O 2.74-3.04
3 Rb 0.2269 0.1872 0.3917  5 O 2.74-3.04
4 Rb 0.6186 0.6083 0.1872  5 O 2.74-3.04
5 Co 0.0700 0.0000 0.0000  5 O 1.70-1.84
6 O 0.9391 0.2639 0.8605  1 Co 1.84
7 O 0.2030 0.8605 0.7361  1 Co 1.84
8 O 0.7995 0.1395 0.2639  1 Co 1.84
9 O 0.0634 0.7361 0.1395  1 Co 1.84
10 O 0.3698 0.0000 0.0000  1 Co 1.70

E_tot, eV for the cell shown: -43.441
Total magnetic moment, μB/cell: 3.003

=====

(6)
A plane-wave DFT calculation with PBE+U was carried out for RbCoReO6 after structural relaxation.

a = 5.1303 Å, b = 5.0933 Å, c = 6.3315 Å
α = 89.80°, β = 89.60°, γ = 59.76°
With the nearest neighbours (Å) after each atom.
Fractional positions:
1 Rb 0.0008 0.9984 0.0000  6 O 2.92
2 Co 0.3305 0.3389 0.5000  6 O 1.86-1.91
3 Re 0.6673 0.6653 0.5000  6 O 1.89-1.92
4 O 0.9998 0.3972 0.3308  1 Re 1.89, 1 Co 1.91
5 O 0.4001 0.0005 0.6697  1 Re 1.89, 1 Co 1.90
6 O 0.6030 0.3972 0.6692  1 Re 1.89, 1 Co 1.91
7 O 0.0031 0.6010 0.6686  1 Co 1.86, 1 Re 1.92
8 O 0.3958 0.6010 0.3314  1 Co 1.86, 1 Re 1.92
9 O 0.5994 0.0005 0.3303  1 Re 1.89, 1 Co 1.90

E_tot, eV for the cell shown: -60.202
Total magnetic moment, μB/cell: 1.040

=====

What did the fifth record say?
A plane-wave DFT calculation with PBE+U was carried out for Rb4CoO5 after structural relaxation.

a = 5.6858 Å, b = 6.6456 Å, c = 6.6456 Å
α = 79.46°, β = 64.67°, γ = 64.67°
With the nearest neighbours (Å) after each atom.
Fractional positions:
1 Rb 0.4141 0.3917 0.8128  5 O 2.74-3.04
2 Rb 0.8058 0.8128 0.6083  5 O 2.74-3.04
3 Rb 0.2269 0.1872 0.3917  5 O 2.74-3.04
4 Rb 0.6186 0.6083 0.1872  5 O 2.74-3.04
5 Co 0.0700 0.0000 0.0000  5 O 1.70-1.84
6 O 0.9391 0.2639 0.8605  1 Co 1.84
7 O 0.2030 0.8605 0.7361  1 Co 1.84
8 O 0.7995 0.1395 0.2639  1 Co 1.84
9 O 0.0634 0.7361 0.1395  1 Co 1.84
10 O 0.3698 0.0000 0.0000  1 Co 1.70

E_tot, eV for the cell shown: -43.441
Total magnetic moment, μB/cell: 3.003